! CrCoTc2 | Alexandria | GGA-PBE | optimized geometry; values from VASP
&SYSTEM
  ibrav = 0, nat = 4, ntyp = 3
/
ATOMIC_SPECIES
Cr 52.00 Cr.upf
Co 58.93 Co.upf
Tc 98.00 Tc.upf
CELL_PARAMETERS angstrom
0.000 2.966 2.966
2.966 0.000 2.966
2.966 2.966 0.000
ATOMIC_POSITIONS crystal
Cr 0.000 0.000 0.000
Co 0.500 0.500 0.500
Tc 0.250 0.250 0.250
Tc 0.750 0.750 0.750
! Energy of formation from the pure elements, eV/f.u.: 0.7
! Offset from the most stable computed form, meV/atom: 114
! Total magnetization, μB/atom: 0.5753
! Energy, eV for the cell shown: -36.8